Record 1
This record from the Alexandria database describes Mg4Cu after structural relaxation. The functional is PBE-GGA.

## Properties
crystal system: cubic
ΔE_f: 0.328 eV/atom
space group: No. 227

Lattice parameters (Å, degrees): 7.010 7.010 7.010 60.00 60.00 60.00
Fractional positions:
Mg (0.857, 0.857, 0.857)
Cu (0.000, 0.000, 0.000)
Mg (0.428, 0.857, 0.857)
Mg (0.857, 0.428, 0.857)
Mg (0.857, 0.857, 0.428)
Mg (0.393, 0.393, 0.393)
Cu (0.250, 0.250, 0.250)
Mg (0.393, 0.822, 0.393)
Mg (0.822, 0.393, 0.393)
Mg (0.393, 0.393, 0.822)

=====

Record 2
This record from the Alexandria database describes LiGdYOs after structural relaxation. The functional is PBE-GGA.

## Properties
crystal system: cubic
ΔE_f: -0.197 eV/atom
space group: No. 216

Lattice parameters (Å, degrees): 4.926 4.926 4.926 60.00 60.00 60.00
Each line ends with the local moment (μB).
Fractional positions:
Gd (0.250, 0.250, 0.250)  7.07
Y (0.750, 0.750, 0.750)  0.02
Li (0.000, 0.000, 0.000)  0.01
Os (0.500, 0.500, 0.500)  -0.07

=====

Record 3
This record from the Alexandria database describes Na2BeAuCl after structural relaxation. The functional is PBE-GGA.

## Properties
crystal system: tetragonal
raw formation energy: 242 meV/atom
space group: No. 123

Lattice parameters (Å, degrees): 5.102 5.246 5.102 90.00 90.00 90.00
Fractional positions:
Be (0.500, 0.500, 0.500)
Na (0.500, 0.000, 0.000)
Cl (0.000, 0.000, 0.000)
Au (0.000, 0.500, 0.000)
Na (0.000, 0.000, 0.500)

=====

no.,electronic total energy (eV per atom)
1,-1.77
2,-8.62
3,-2.06